Here is a geometry-optimized LiYRe3 structure from Alexandria. Energies are from GGA-PBEsol.

Structure (POSCAR):
```
LiYRe3
1.0
-4.606 1.197 -0.338
-1.230 -4.575 0.562
-0.183 0.630 4.726
Re Y Li
3 1 1
Cartesian
-0.615 -2.288 0.281
-0.092 0.315 2.363
-2.303 0.599 -0.169
0.000 0.000 0.000
-3.010 -1.374 2.475
```

Symmetry = Pm-3m
Formation enthalpy at 0 K = 3.03 eV per atom
Calculated total energy = -33.6 eV per cell
Size of the total moment = 1.3 μB/f.u.

Here is a geometry-optimized KMg3Sb structure from Alexandria. Energies are from GGA-PBEsol.

Structure (POSCAR):
```
KMg3Sb
1.0
5.677 0.000 0.000
0.000 5.677 0.000
0.000 0.000 5.677
Mg Sb K
3 1 1
Cartesian
0.000 2.839 0.000
2.839 0.000 0.000
0.000 0.000 2.839
0.000 0.000 0.000
2.839 2.839 2.839
```

Symmetry = Pm-3m
Calculated total energy = -9.7 eV per cell
Size of the total moment = 0.0 μB/f.u.
Formation energy without anion corrections = 0.23 eV/atom

Here is a geometry-optimized FeMoPt2 structure from Alexandria. Energies are from GGA-PBEsol.

Structure (POSCAR):
```
FeMoPt2
1.0
2.700 0.000 0.000
0.000 3.913 0.000
0.000 0.000 5.331
Pt Fe Mo
2 1 1
Cartesian
0.000 0.000 1.321
0.000 0.000 4.010
1.350 1.957 0.000
1.350 1.957 2.665
```

Symmetry = Pmmm
Formation enthalpy at 0 K = -0.24 eV per atom
Calculated total energy = -35.6 eV per cell
Size of the total moment = 2.7 μB/f.u.

Here is a geometry-optimized CaTiO3 structure from Alexandria. Energies are from GGA-PBEsol.

Structure (POSCAR):
```
CaTiO3
1.0
-2.309 -2.458 -1.852
3.078 -1.824 -1.416
0.027 -2.332 3.061
O Ti Ca
3 1 1
Cartesian
1.539 -0.912 -0.708
-1.154 -1.229 -0.926
0.014 -1.166 1.530
0.000 0.000 0.000
0.398 -3.307 -0.104
```

Symmetry = Pm-3m
Calculated total energy = -41.8 eV per cell
Size of the total moment = 0.0 μB/f.u.
Formation energy without anion corrections = -3.13 eV/atom

Here is a geometry-optimized MnSnH2Cl structure from Alexandria. Energies are from GGA-PBEsol.

Structure (POSCAR):
```
MnSnH2Cl
1.0
3.551 0.000 0.000
0.000 3.551 0.000
0.000 0.000 7.617
H Sn Mn Cl
2 1 1 1
Cartesian
1.776 0.000 0.000
0.000 1.776 0.000
0.000 0.000 3.808
1.776 1.776 3.808
0.000 0.000 0.000
```

Symmetry = P4/mmm
Calculated total energy = -19.2 eV per cell
Size of the total moment = 3.1 μB/f.u.

Here is a geometry-optimized NaAuIO2 structure from Alexandria. Energies are from GGA-PBEsol.

Structure (POSCAR):
```
NaAuIO2
1.0
-2.041 -3.186 1.637
0.099 -1.933 -3.640
4.936 -2.431 1.425
O Na Au I
2 1 1 1
Cartesian
-1.021 -1.593 0.819
0.049 -0.967 -1.820
1.497 -3.775 -0.289
0.000 0.000 0.000
2.468 -1.215 0.712
```

Symmetry = P4/mmm
Calculated total energy = -17.9 eV per cell
Energy above the most stable polymorph in this dataset = 0.0000 eV/atom
Size of the total moment = 1.1 μB/f.u.
Formation energy without anion corrections = -0.05 eV/atom

Among the records above, which one has the lowest calculated total energy? CaTiO3